DFT (PBE) results for a relaxed AcSn4Hg crystal.

a b c (Å): 8.9086 8.9086 8.9086
angles (deg): 90.00 90.00 90.00
Space group F-43m (No. 216)
One atom of each set of equivalent atoms:
Ac  0.0000  0.0000  0.0000 (multiplicity 4)
Sn  0.1249  0.1249  0.6249 (multiplicity 16)
Hg  0.2500  0.2500  0.2500 (multiplicity 4)

Properties
- crystal system = cubic
- magnetization (μB per atom) = 0.000
- formation energy (eV/f.u.) = -1.751